No. 1
Nd6RuPb2 after structural relaxation, computed with GGA-PBE.

Lattice parameters (Å, degrees): 6.443 8.673 12.259 90.00 121.37 90.00
Space group P2_1/c (No. 14)
Symmetry-distinct sites (fractional):
1 Nd 0.081 0.171 0.451 [4 per cell]
2 Nd 0.319 0.690 0.450 [4 per cell]
3 Nd 0.352 0.029 0.246 [4 per cell]
4 Ru 0.500 0.000 0.500 [2 per cell]
5 Pb 0.176 0.112 0.756 [4 per cell]

Calculated values
As for the formation enthalpy at 0 K: -0.300 eV per atom. Its spin magnetization is 0.000 μB per formula unit. The density comes out at 7.840 g/cm³.


No. 2
ZrSc2Cr2 after structural relaxation, computed with GGA-PBE.

Lattice parameters (Å, degrees): 7.616 7.616 3.243 90.00 90.00 90.00
Space group P4/mbm (No. 127)
Symmetry-distinct sites (fractional):
1 Zr 0.000 0.000 0.000 [2 per cell]
2 Sc 0.198 0.302 0.500 [4 per cell]
3 Cr 0.089 0.589 0.000 [4 per cell]

Calculated values
As for the formation enthalpy at 0 K: 0.302 eV per atom. Its spin magnetization is 0.000 μB per formula unit. The density comes out at 5.035 g/cm³.


No. 3
Ca3YPb after structural relaxation, computed with GGA-PBE.

Lattice parameters (Å, degrees): 5.979 5.979 5.979 90.00 90.00 90.00
Space group Pm-3m (No. 221)
Symmetry-distinct sites (fractional):
1 Ca 0.000 0.000 0.500 [3 per cell]
2 Y 0.500 0.500 0.500 [1 per cell]
3 Pb 0.000 0.000 0.000 [1 per cell]

Calculated values
As for the formation enthalpy at 0 K: 0.174 eV per atom. Its spin magnetization is 0.006 μB per formula unit. The density comes out at 3.234 g/cm³. The calculation puts the energy relative to the lowest polymorph listed for this composition at 0 meV per atom.


No. 4
Li3Zn5Ag3 after structural relaxation, computed with GGA-PBE.

Lattice parameters (Å, degrees): 13.938 9.129 2.918 90.00 101.71 90.00
Space group C2 (No. 5)
Symmetry-distinct sites (fractional):
1 Li 0.000 0.000 0.000 [2 per cell]
2 Li 0.150 0.229 0.154 [4 per cell]
3 Zn 0.000 0.457 0.000 [2 per cell]
4 Zn 0.165 0.978 0.666 [4 per cell]
5 Zn 0.175 0.739 0.174 [4 per cell]
6 Ag 0.000 0.739 0.500 [2 per cell]
7 Ag 0.166 0.484 0.667 [4 per cell]

Calculated values
As for the formation enthalpy at 0 K: -0.082 eV per atom. Its spin magnetization is 0.000 μB per formula unit. The density comes out at 6.134 g/cm³.


No. 5
TmPHRu2 after structural relaxation, computed with GGA-PBE.

Lattice parameters (Å, degrees): 3.545 10.613 7.232 90.00 90.00 90.00
Space group Cmcm (No. 63)
Symmetry-distinct sites (fractional):
1 Tm 0.000 0.051 0.250 [4 per cell]
2 P 0.000 0.230 0.750 [4 per cell]
3 H 0.000 0.500 0.000 [4 per cell]
4 Ru 0.000 0.342 0.056 [8 per cell]

Calculated values
Its spin magnetization is 0.000 μB per formula unit. The density comes out at 9.840 g/cm³. Its electronic total energy is -6.9719 eV/atom.


No. 6
Co3Ir2Rh3 after structural relaxation, computed with GGA-PBE.

Lattice parameters (Å, degrees): 2.678 12.484 13.064 90.00 90.00 90.00
Space group Cmcm (No. 63)
Symmetry-distinct sites (fractional):
1 Co 0.000 0.034 0.084 [8 per cell]
2 Co 0.000 0.326 0.250 [4 per cell]
3 Ir 0.000 0.301 0.645 [8 per cell]
4 Rh 0.000 0.359 0.053 [8 per cell]
5 Rh 0.000 0.489 0.750 [4 per cell]

Calculated values
As for the formation enthalpy at 0 K: 0.218 eV per atom. Its spin magnetization is 2.435 μB per formula unit. The density comes out at 13.228 g/cm³.


No. 7
AlCoW2 after structural relaxation, computed with GGA-PBE.

Lattice parameters (Å, degrees): 3.138 3.138 5.871 90.00 90.00 90.00
Space group P4mm (No. 99)
Symmetry-distinct sites (fractional):
1 Al 0.000 0.000 0.000 [1 per cell]
2 Co 0.500 0.500 0.229 [1 per cell]
3 W 0.000 0.000 0.479 [1 per cell]
4 W 0.500 0.500 0.731 [1 per cell]

Calculated values
As for the formation enthalpy at 0 K: 0.029 eV per atom. Its spin magnetization is 0.000 μB per formula unit. The density comes out at 13.033 g/cm³.


No. 8
Dy4NpSb5 after structural relaxation, computed with GGA-PBE.

Lattice parameters (Å, degrees): 4.386 6.202 21.958 90.00 90.00 90.00
Space group Immm (No. 71)
Symmetry-distinct sites (fractional):
1 Dy 0.000 0.000 0.101 [4 per cell]
2 Dy 0.000 0.000 0.299 [4 per cell]
3 Np 0.000 0.000 0.500 [2 per cell]
4 Sb 0.000 0.500 0.100 [4 per cell]
5 Sb 0.000 0.500 0.300 [4 per cell]
6 Sb 0.000 0.500 0.500 [2 per cell]

Calculated values
Its spin magnetization is 3.795 μB per formula unit. The density comes out at 8.316 g/cm³. Its electronic total energy is -6.1357 eV/atom.


No. 9
Pu2PaSb after structural relaxation, computed with GGA-PBE.

Lattice parameters (Å, degrees): 6.443 9.289 6.465 90.00 90.00 90.00
Space group Cmme (No. 67)
Symmetry-distinct sites (fractional):
1 Pu 0.000 0.250 0.219 [4 per cell]
2 Pu 0.250 0.000 0.500 [4 per cell]
3 Pa 0.250 0.000 0.000 [4 per cell]
4 Sb 0.000 0.250 0.736 [4 per cell]

Calculated values
Its spin magnetization is 0.088 μB per formula unit. The density comes out at 14.433 g/cm³. The calculation puts the energy relative to the lowest polymorph listed for this composition at 0 meV per atom.


No. 10
LiAcPtAu2 after structural relaxation, computed with GGA-PBE.

Lattice parameters (Å, degrees): 4.104 4.191 12.990 90.00 90.00 90.00
Space group Imm2 (No. 44)
Symmetry-distinct sites (fractional):
1 Li 0.000 0.000 0.000 [2 per cell]
2 Ac 0.000 0.500 0.232 [2 per cell]
3 Pt 0.000 0.500 0.646 [2 per cell]
4 Au 0.000 0.000 0.505 [2 per cell]
5 Au 0.000 0.500 0.858 [2 per cell]

Calculated values
As for the formation enthalpy at 0 K: -0.739 eV per atom. Its spin magnetization is 0.000 μB per formula unit. The density comes out at 12.232 g/cm³.


No. 11
TmLuPt2 after structural relaxation, computed with GGA-PBE.

Lattice parameters (Å, degrees): 6.873 6.873 6.873 90.00 90.00 90.00
Space group Fm-3m (No. 225)
Symmetry-distinct sites (fractional):
1 Tm 0.000 0.000 0.000 [4 per cell]
2 Lu 0.000 0.000 0.500 [4 per cell]
3 Pt 0.250 0.250 0.250 [8 per cell]

Calculated values
As for the formation enthalpy at 0 K: -1.290 eV per atom. Its spin magnetization is 0.027 μB per formula unit. The density comes out at 15.020 g/cm³. The calculation puts the energy relative to the lowest polymorph listed for this composition at 9 meV per atom.


No. 12
Re2Ru5Rh2 after structural relaxation, computed with GGA-PBE.

Lattice parameters (Å, degrees): 8.616 3.852 8.157 90.00 108.93 90.00
Space group C2/m (No. 12)
Symmetry-distinct sites (fractional):
1 Re 0.167 0.000 0.055 [4 per cell]
2 Ru 0.000 0.500 0.167 [4 per cell]
3 Ru 0.000 0.500 0.500 [2 per cell]
4 Ru 0.167 0.000 0.726 [4 per cell]
5 Rh 0.167 0.000 0.388 [4 per cell]

Calculated values
As for the formation enthalpy at 0 K: 0.037 eV per atom. Its spin magnetization is 0.000 μB per formula unit. The density comes out at 14.054 g/cm³.